# 1
DFT (PBE) results for a relaxed structure of BeCrH2.

Values from the calculation:
density = 3.989 g cm⁻³
space group = I-42d, No. 122
polymorph energy (0 for the lowest one) = 0 meV/atom
V = 52.5 Å³/cell

Unit cell a=3.7525 b=3.7525 c=4.5744 alpha=65.79 beta=65.79 gamma=90.00
Sites, in units of the cell vectors:
H  0.8750  0.8445  0.7500
H  0.3750  0.4055  0.7500
H  0.1555  0.6250  0.2500
H  0.5945  0.1250  0.2500
Be  0.2500  0.7500  0.5000
Be  0.5000  0.5000  0.0000
Cr  0.7500  0.2500  0.5000
Cr  0.0000  0.0000  0.0000

---

# 2
DFT (PBE) results for a relaxed structure of Zr3InHg.

Values from the calculation:
density = 6.731 g cm⁻³
space group = Pm-3m, No. 221
ΔH_f (0 K) = 0.77 eV per atom
polymorph energy (0 for the lowest one) = 828 meV/atom
V = 145.3 Å³/cell

Unit cell a=5.2576 b=5.2576 c=5.2576 alpha=90.00 beta=90.00 gamma=90.00
Sites, in units of the cell vectors:
In  0.5000  0.5000  0.5000
Zr  0.0000  0.5000  0.0000
Zr  0.5000  0.0000  0.0000
Zr  0.0000  0.0000  0.5000
Hg  0.0000  0.0000  0.0000

---

# 3
DFT (PBE) results for a relaxed structure of NdSmBrN.

Values from the calculation:
raw formation energy = -1398 meV/atom
density = 7.407 g cm⁻³
space group = R3m, No. 160
V = 87.1 Å³/cell

Unit cell a=3.7066 b=3.7068 c=7.6265 alpha=90.00 beta=104.07 gamma=120.00
Sites, in units of the cell vectors:
N  0.3135  0.5547  0.8836
Nd  0.5133  0.1546  0.6832
Sm  0.0870  0.9415  0.0437
Br  0.9640  0.3800  0.3592

---

# 4
DFT (PBE) results for a relaxed structure of Y2ZnHg8.

Values from the calculation:
density = 11.578 g cm⁻³
space group = P4/mmm, No. 123
ΔH_f (0 K) = -0.24 eV per atom
V = 265.0 Å³/cell

Unit cell a=4.6207 b=4.6207 c=12.4137 alpha=90.00 beta=90.00 gamma=90.00
Sites, in units of the cell vectors:
Hg  0.5000  0.5000  0.3127
Hg  0.0000  0.5000  0.5000
Hg  0.5000  0.0000  0.8714
Hg  0.5000  0.0000  0.1286
Hg  0.0000  0.5000  0.8714
Hg  0.0000  0.5000  0.1286
Hg  0.5000  0.5000  0.6873
Hg  0.5000  0.0000  0.5000
Y  0.0000  0.0000  0.6932
Y  0.0000  0.0000  0.3068
Zn  0.0000  0.0000  0.0000

---

# 5
DFT (PBE) results for a relaxed structure of CaPr2Y9.

Values from the calculation:
density = 4.618 g cm⁻³
space group = P4/mmm, No. 123
ΔH_f (0 K) = 0.05 eV per atom
V = 403.5 Å³/cell

Unit cell a=5.1299 b=5.1299 c=15.3322 alpha=90.00 beta=90.00 gamma=90.00
Sites, in units of the cell vectors:
Y  0.5000  0.0000  0.1715
Y  0.5000  0.5000  0.0000
Y  0.5000  0.0000  0.8285
Y  0.5000  0.5000  0.6667
Y  0.5000  0.0000  0.5000
Y  0.0000  0.5000  0.8285
Y  0.0000  0.5000  0.5000
Y  0.0000  0.5000  0.1715
Y  0.5000  0.5000  0.3333
Pr  0.0000  0.0000  0.6664
Pr  0.0000  0.0000  0.3336
Ca  0.0000  0.0000  0.0000

---

# 6
DFT (PBE) results for a relaxed structure of CsSc2Ir.

Values from the calculation:
density = 4.922 g cm⁻³
space group = R-3m, No. 166
ΔH_f (0 K) = -0.15 eV per atom
polymorph energy (0 for the lowest one) = 0 meV/atom
V = 140.0 Å³/cell

Unit cell a=10.3717 b=10.3717 c=10.3717 alpha=22.23 beta=22.23 gamma=22.23
Sites, in units of the cell vectors:
Sc  0.8737  0.8737  0.8737
Sc  0.1263  0.1263  0.1263
Ir  0.5000  0.5000  0.5000
Cs  0.0000  0.0000  0.0000